Ba12Br3Cl2F19: optimized geometry, PBE-GGA.

Output
Magnetization, μB per cell: 0.26
ρ, g/cm3: 4.9
ΔE_f (raw), kJ/mol of atoms: -344
N(E_F), states/eV/f.u.: 0.000

a = 14.351 Å, b = 14.351 Å, c = 4.371 Å
α = 90.00°, β = 90.00°, γ = 120.07°
Each line ends with the local moment (μB).
Atoms (fractional coordinates):
1 F 0.002 0.723 0.500  0.00
2 Ba 0.693 0.168 0.500  0.00
3 F 0.875 0.365 0.500  0.00
4 Ba 0.376 0.000 0.000  0.00
5 F 0.808 0.185 0.000  0.00
6 F 0.488 0.125 0.500  0.00
7 F 0.125 0.488 0.500  0.00
8 Ba 0.834 0.529 0.500  0.00
9 Ba 0.825 0.007 0.000  0.00
10 F 0.723 0.002 0.500  0.00
11 F 0.185 0.808 0.000  0.00
12 Ba 0.529 0.834 0.500  0.00
13 Ba 0.007 0.825 0.000  0.00
14 Ba 0.000 0.376 0.000  0.00
15 F 0.563 0.002 0.000  0.00
16 F 0.998 0.998 0.000  0.01
17 Ba 0.176 0.176 0.000  0.00
18 F 0.627 0.819 0.000  0.01
19 Ba 0.304 0.470 0.500  0.00
20 Ba 0.470 0.304 0.500  0.00
21 Cl 0.999 0.187 0.500  0.02
22 F 0.276 0.276 0.500  0.00
23 Ba 0.168 0.693 0.500  0.00
24 F 0.819 0.627 0.000  0.01
25 F 0.511 0.635 0.500  0.00
26 F 0.191 0.373 0.000  0.00
27 F 0.002 0.563 0.000  0.00
28 Br 0.666 0.335 0.000  0.01
29 Br 0.812 0.812 0.500  0.10
30 F 0.365 0.875 0.500  0.00
31 F 0.373 0.191 0.000  0.00
32 Br 0.335 0.666 0.000  0.01
33 Cl 0.187 0.999 0.500  0.02
34 F 0.635 0.511 0.500  0.00
35 F 0.435 0.435 0.000  0.00
36 Ba 0.619 0.619 0.000  0.00

Np2P3PdRh4: optimized geometry, PBE-GGA.

Output
Magnetization, μB per cell: 6.75
ρ, g/cm3: 10.8
N(E_F), states/eV/f.u.: 18.490
Energy of formation, eV per atom: -0.671

a = 3.891 Å, b = 3.891 Å, c = 10.967 Å
α = 90.00°, β = 90.00°, γ = 90.00°
Each line ends with the local moment (μB).
Atoms (fractional coordinates):
1 Rh 0.000 0.000 0.000  -0.01
2 P 0.000 0.000 0.500  -0.07
3 Np 0.500 0.000 0.254  3.52
4 Rh 0.000 0.500 0.330  -0.23
5 Rh 0.500 0.000 0.670  -0.23
6 P 0.500 0.000 0.876  -0.03
7 P 0.000 0.500 0.124  -0.03
8 Np 0.000 0.500 0.746  3.52
9 Rh 0.500 0.500 0.000  0.01
10 Pd 0.500 0.500 0.500  -0.05